The following is a GGA-PBE calculation of a relaxed Li2InIr crystal, from Alexandria.

abc: 3.8846 3.8846 4.1731
angles: 90.00 90.00 90.00
Space group P4/mmm (No. 123)
Asymmetric unit:
Li (0.0000, 0.5000, 0.0000) [2 per cell]
In (0.0000, 0.0000, 0.5000) [1 per cell]
Ir (0.5000, 0.5000, 0.5000) [1 per cell]

Computed properties:
Energy of formation: -0.19 eV per atom
Raw total energy: -4.046 eV per atom
Size of the total moment: 0.00 μB/cell
DOS at the Fermi energy: 1.32 states/eV/f.u.